# PBEsol CdHg2Ru, relaxed
# - Crystal system: orthorhombic
# - Density: 14.0 g/cm³
# - M_tot: 0.63 Bohr magnetons per cell
# - Formation energy: 364 meV per atom
data_CdHg2Ru
_space_group_name_H-M_alt 'P m m 2'
_space_group_IT_number 25
_space_group_name_Hall 'P 2 -2'
_cell_length_a 3.013
_cell_length_b 4.093
_cell_length_c 5.928
_cell_angle_alpha 90.00
_cell_angle_beta 90.00
_cell_angle_gamma 90.00
loop_
_atom_site_label
_atom_site_type_symbol
_atom_site_fract_x
_atom_site_fract_y
_atom_site_fract_z
_atom_site_occupancy
Cd1 Cd 0.000 0.000 0.000 1
Hg1 Hg 0.000 0.000 0.537 1
Hg2 Hg 0.500 0.500 0.263 1
Ru1 Ru 0.500 0.500 0.769 1